# 1
# PdSO, relaxed, DFT GGA-PBE
data_PdSO
_chemical_formula_sum 'Pd4 S4 O4'
_space_group_name_H-M_alt 'C 1 2/m 1'
_space_group_IT_number 12
_cell_length_a 5.0960
_cell_length_b 7.2623
_cell_length_c 6.5740
_cell_angle_alpha 90.00
_cell_angle_beta 90.27
_cell_angle_gamma 90.00
loop_
_space_group_symop_operation_xyz
'x,y,z'
'-x,-y,-z'
'-x,y,-z'
'x,-y,z'
'x+1/2,y+1/2,z'
'-x+1/2,-y+1/2,-z'
'-x+1/2,y+1/2,-z'
'x+1/2,-y+1/2,z'
loop_
_atom_site_label
_atom_site_type_symbol
_atom_site_fract_x
_atom_site_fract_y
_atom_site_fract_z
Pd1 Pd 0.1991 0.0000 0.1068
S1 S 0.1164 0.0000 0.6642
O1 O 0.1302 0.5000 0.1900
# V: 20.3 A^3/atom
# ΔE_f (raw): -118 meV/atom
# Magnetization: 0.00 μB/atom



# 2
# ScCdPb2, relaxed, DFT GGA-PBE
data_ScCdPb2
_chemical_formula_sum 'Sc1 Cd1 Pb2'
_space_group_name_H-M_alt 'P 4/m m m'
_space_group_IT_number 123
_space_group_name_Hall '-P 4 2'
_cell_length_a 3.9291
_cell_length_b 3.9291
_cell_length_c 6.7775
_cell_angle_alpha 90.00
_cell_angle_beta 90.00
_cell_angle_gamma 90.00
loop_
_atom_site_label
_atom_site_type_symbol
_atom_site_fract_x
_atom_site_fract_y
_atom_site_fract_z
Sc1 Sc 0.0000 0.0000 0.0000
Cd1 Cd 0.0000 0.0000 0.5000
Pb1 Pb 0.5000 0.5000 0.2438
# V: 26.2 A^3/atom
# Energy of formation: -0.4 eV/f.u.
# Magnetization: 0.00 μB/atom



# 3
# NbV2ReSn, relaxed, DFT GGA-PBE
data_NbV2ReSn
_chemical_formula_sum 'Nb1 V2 Re1 Sn1'
_space_group_name_H-M_alt 'P 4/m m m'
_space_group_IT_number 123
_space_group_name_Hall '-P 4 2'
_cell_length_a 4.5120
_cell_length_b 4.5120
_cell_length_c 5.1761
_cell_angle_alpha 90.00
_cell_angle_beta 90.00
_cell_angle_gamma 90.00
loop_
_atom_site_label
_atom_site_type_symbol
_atom_site_fract_x
_atom_site_fract_y
_atom_site_fract_z
Nb1 Nb 0.0000 0.0000 0.0000
V1 V 0.0000 0.5000 0.0000
Re1 Re 0.5000 0.5000 0.5000
Sn1 Sn 0.0000 0.0000 0.5000
# V: 21.1 A^3/atom
# Energy of formation: 9.2 eV/f.u.
# Magnetization: 0.02 μB/atom